Record 1
The following is a GGA-PBE calculation of a relaxed YUFe2 crystal, from Alexandria via LeMat-Bulk.

Cell lengths 6.457, 4.845, 9.467 Å; angles 90.00, 90.00, 90.00 degrees
Sites, in units of the cell vectors:
Y: 0.143 0.250 0.145
Y: 0.357 0.750 0.645
Y: 0.643 0.250 0.355
Y: 0.857 0.750 0.855
U: 0.021 0.250 0.631
U: 0.479 0.750 0.131
U: 0.521 0.250 0.869
U: 0.979 0.750 0.369
Fe: 0.118 0.250 0.846
Fe: 0.225 0.250 0.460
Fe: 0.275 0.750 0.960
Fe: 0.382 0.750 0.346
Fe: 0.618 0.250 0.654
Fe: 0.725 0.250 0.040
Fe: 0.775 0.750 0.540
Fe: 0.882 0.750 0.154

Results
Energy of formation   -147 meV/atom
Space group   Pnma (62)
Electronic total energy   -0.6480 Ry per atom

Record 2
The following is a GGA-PBE calculation of a relaxed YUFe crystal, from Alexandria via LeMat-Bulk.

Cell lengths 7.673, 7.668, 4.423 Å; angles 73.29, 73.19, 33.52 degrees
Sites, in units of the cell vectors:
Y: 0.152 0.152 0.848
Y: 0.848 0.848 0.152
U: 0.400 0.400 0.600
U: 0.600 0.600 0.400
Fe: 0.000 0.000 0.500
Fe: 0.500 0.500 0.000

Results
Energy of formation   352 meV/atom
Space group   Fmmm (69)
Electronic total energy   -0.6164 Ry per atom

Record 3
The following is a GGA-PBE calculation of a relaxed YUFe2 crystal, from Alexandria via LeMat-Bulk.

Cell lengths 3.244, 3.244, 6.833 Å; angles 90.00, 90.00, 90.00 degrees
Sites, in units of the cell vectors:
Y: 0.000 0.000 0.000
U: 0.000 0.000 0.500
Fe: 0.500 0.500 0.308
Fe: 0.500 0.500 0.692

Results
Energy of formation   -20 meV/atom
Space group   P4/mmm (123)
Electronic total energy   -0.6387 Ry per atom

Record 4
The following is a GGA-PBE calculation of a relaxed YUFe3 crystal, from Alexandria via LeMat-Bulk.

Cell lengths 7.308, 5.584, 9.340 Å; angles 90.00, 116.37, 90.00 degrees
Sites, in units of the cell vectors:
Y: 0.085 0.089 0.196
Y: 0.085 0.411 0.696
Y: 0.915 0.589 0.304
Y: 0.915 0.911 0.804
U: 0.383 0.694 0.073
U: 0.383 0.806 0.573
U: 0.617 0.194 0.427
U: 0.617 0.306 0.927
Fe: 0.107 0.612 0.105
Fe: 0.107 0.888 0.605
Fe: 0.322 0.211 0.550
Fe: 0.322 0.289 0.050
Fe: 0.385 0.020 0.856
Fe: 0.385 0.480 0.356
Fe: 0.615 0.520 0.644
Fe: 0.615 0.980 0.144
Fe: 0.678 0.711 0.950
Fe: 0.678 0.789 0.450
Fe: 0.893 0.112 0.395
Fe: 0.893 0.388 0.895

Results
Energy of formation   -38 meV/atom
Space group   P2_1/c (14)
Electronic total energy   -0.6369 Ry per atom

Record 5
The following is a GGA-PBE calculation of a relaxed YUFe3 crystal, from Alexandria via LeMat-Bulk.

Cell lengths 5.717, 5.717, 5.717 Å; angles 138.19, 138.19, 60.61 degrees
Sites, in units of the cell vectors:
Y: 0.000 0.000 0.000
U: 0.648 0.648 0.000
Fe: 0.282 0.782 0.500
Fe: 0.436 0.436 0.000
Fe: 0.782 0.282 0.500

Results
Energy of formation   -15 meV/atom
Space group   I4mm (107)
Electronic total energy   -0.6352 Ry per atom

Record 6
The following is a GGA-PBE calculation of a relaxed Y2U2Fe3 crystal, from Alexandria via LeMat-Bulk.

Cell lengths 3.805, 5.556, 6.962 Å; angles 85.44, 77.90, 70.73 degrees
Sites, in units of the cell vectors:
Y: 0.094 0.213 0.122
Y: 0.906 0.787 0.878
U: 0.322 0.315 0.584
U: 0.678 0.685 0.416
Fe: 0.000 0.000 0.500
Fe: 0.330 0.658 0.204
Fe: 0.670 0.342 0.796

Results
Energy of formation   -74 meV/atom
Space group   P-1 (2)
Electronic total energy   -0.6448 Ry per atom

Record 7
The following is a GGA-PBE calculation of a relaxed YUFe crystal, from Alexandria via LeMat-Bulk.

Cell lengths 3.483, 3.483, 6.170 Å; angles 90.00, 90.00, 120.00 degrees
Sites, in units of the cell vectors:
Y: 0.000 0.000 0.000
U: 0.667 0.333 0.446
Fe: 0.333 0.667 0.656

Results
Energy of formation   183 meV/atom
Space group   P3m1 (156)
Electronic total energy   -0.6288 Ry per atom

Record 8
The following is a GGA-PBE calculation of a relaxed YUFe2 crystal, from Alexandria via LeMat-Bulk.

Cell lengths 7.753, 7.753, 7.753 Å; angles 25.24, 25.24, 25.24 degrees
Sites, in units of the cell vectors:
Y: 0.000 0.000 0.000
U: 0.500 0.500 0.500
Fe: 0.236 0.236 0.236
Fe: 0.764 0.764 0.764

Results
Energy of formation   174 meV/atom
Space group   R-3m (166)
Electronic total energy   -0.6244 Ry per atom